# Er3CuN GGA-PBE relaxed
data_Er3CuN
_chemical_formula_sum 'Er3 Cu1 N1'
_symmetry_space_group_name_H-M 'P m -3 m'
_symmetry_Int_Tables_number 221
_symmetry_space_group_name_Hall '-P 4 2 3'
_cell_length_a 4.686
_cell_length_b 4.686
_cell_length_c 4.686
_cell_angle_alpha 90.00
_cell_angle_beta 90.00
_cell_angle_gamma 90.00
loop_
_atom_site_label
_atom_site_type_symbol
_atom_site_fract_x
_atom_site_fract_y
_atom_site_fract_z
Er1 Er 0.000 0.000 0.500
Cu1 Cu 0.500 0.500 0.500
N1 N 0.000 0.000 0.000
# - Theoretical density: 9.3 g cm⁻³
# - Formation energy from raw total energies: -3.3 eV per formula unit